Material: ZrRe
Method: DFT, PBE-GGA
State: relaxed Values from VASP.

```
&SYSTEM
  ibrav = 0, nat = 16, ntyp = 2
/
ATOMIC_SPECIES
Zr 91.22 Zr.upf
Re 186.21 Re.upf
ATOMIC_POSITIONS angstrom
Zr 0.000 0.000 1.542
Zr 0.000 0.000 11.859
Zr 0.000 2.306 3.350
Zr 0.000 2.306 10.051
Zr 2.306 0.000 3.350
Zr 2.306 0.000 10.051
Zr 2.306 2.306 5.159
Zr 2.306 2.306 8.242
Re 0.000 0.000 5.129
Re 0.000 0.000 8.272
Re 0.000 2.306 0.000
Re 0.000 2.306 6.701
Re 2.306 0.000 0.000
Re 2.306 0.000 6.701
Re 2.306 2.306 1.571
Re 2.306 2.306 11.830
CELL_PARAMETERS angstrom
4.611 0.000 0.000
0.000 4.611 0.000
0.000 0.000 13.401
```

Properties
* calculated formation energy: -0.097 eV/atom
* calculated volume: 17.809 Å³ per atom
* total magnetic moment: 0.000 μB/atom